PBE-GGA PuSbAuN, optimized geometry; formation energy without anion corrections = -0.374 eV per atom; DOS(E_F) = 6.83 states/eV/cell; symmetry = I4mm, No. 107
1.0
3.222 0.000 0.000
0.000 3.222 0.000
-1.611 -1.611 7.712
Pu Sb Au N
1 1 1 1
direct
0.650 0.650 0.301
0.959 0.959 0.918
0.301 0.301 0.601
0.102 0.102 0.205


PBE-GGA Ac3SnGe2Au6, optimized geometry; DOS(E_F) = 5.32 states/eV/cell; symmetry = P-3m1, No. 164; formation energy from the elements = -0.535 eV/atom
1.0
6.612 0.000 0.000
-3.306 5.726 0.000
0.000 0.000 8.427
Ac Sn Ge Au
3 1 2 6
direct
0.333 0.667 0.651
0.667 0.333 0.349
0.000 0.000 0.000
0.000 0.000 0.500
0.667 0.333 0.950
0.333 0.667 0.050
0.634 0.817 0.282
0.183 0.366 0.282
0.183 0.817 0.282
0.817 0.634 0.718
0.366 0.183 0.718
0.817 0.183 0.718


PBE-GGA LiLa3Np3Se8, optimized geometry; formation energy without anion corrections = -1.495 eV per atom; DOS(E_F) = 37.06 states/eV/cell; symmetry = R-3m, No. 166
1.0
8.334 0.000 0.000
-4.167 7.217 -0.024
0.000 -4.788 6.907
Li La Np Se
1 3 3 8
direct
0.000 0.000 0.500
0.000 0.000 0.000
0.000 0.500 0.000
0.500 0.500 0.000
0.500 0.000 0.500
0.500 0.500 0.500
0.000 0.500 0.500
0.255 0.510 0.265
0.745 0.490 0.735
0.755 0.510 0.265
0.245 0.490 0.735
0.755 0.010 0.265
0.245 0.990 0.735
0.255 0.010 0.265
0.745 0.990 0.735


PBE-GGA TmSnAu, optimized geometry; DOS(E_F) = 0.67 states/eV/cell; symmetry = P6_3mc, No. 186; formation energy from the elements = -0.783 eV/atom
1.0
4.677 0.000 0.000
-2.339 4.051 0.000
0.000 0.000 7.387
Tm Au Sn
2 2 2
direct
0.000 0.000 0.970
0.000 0.000 0.470
0.333 0.667 0.804
0.667 0.333 0.304
0.333 0.667 0.198
0.667 0.333 0.698


PBE-GGA Co2AgIr, optimized geometry; DOS(E_F) = 6.01 states/eV/cell; symmetry = R-3m, No. 166; formation energy from the elements = 0.262 eV/atom
1.0
8.905 -0.002 -0.001
8.497 2.665 -0.001
8.497 1.300 2.326
Ag Co Ir
1 2 1
direct
0.750 0.750 0.750
0.995 0.995 0.995
0.505 0.505 0.505
0.250 0.250 0.250


PBE-GGA LaIn2Br, optimized geometry; formation energy without anion corrections = -0.639 eV per atom; DOS(E_F) = 2.26 states/eV/cell; symmetry = Pmm2, No. 25
1.0
4.926 0.000 0.000
0.000 3.773 -0.028
0.000 0.042 6.140
In Br La
2 1 1
direct
0.000 0.875 0.123
0.500 0.374 0.128
0.500 0.875 0.626
0.000 0.375 0.623